A plane-wave DFT calculation with GGA+U was carried out for KVFeF6 after structural relaxation.

Computed properties:
For the total energy, the calculation gives -5.591 eV/atom. The calculation puts the total magnetic moment at 2.0 μB/cell.

abc: 5.5383 5.4944 5.6084
angles: 89.74 89.71 59.97
Site moments in Bohr magnetons follow the coordinates.
Atoms (fractional coordinates):
K (0.0033, 0.9993, 0.9998)  0.00
V (0.6715, 0.6660, 0.5002)  1.91
Fe (0.3340, 0.3361, 0.4997)  -3.81
F (0.9867, 0.3760, 0.3092)  -0.02
F (0.3768, 0.9915, 0.6881)  -0.02
F (0.6276, 0.3930, 0.6991)  -0.02
F (0.9801, 0.6346, 0.6971)  -0.02
F (0.3876, 0.6263, 0.3070)  -0.02
F (0.6321, 0.9774, 0.2999)  -0.02